(1)
First-principles (GGA-PBE) data for a relaxed BaTlCl4 crystal, as listed in Alexandria via LeMat-Bulk.

Its crystal system is cubic. For the polymorph energy (0 for the lowest one), the calculation gives 667 meV per atom. Its energy relative to the elements, uncorrected is -0.910 eV/atom.

The structure in CIF format:
```
data_BaTlCl4
_space_group_name_H-M_alt 'P 1'
_space_group_IT_number 1
_space_group_name_Hall 'P 1'
_cell_length_a 6.237
_cell_length_b 6.237
_cell_length_c 6.237
_cell_angle_alpha 60.00
_cell_angle_beta 60.00
_cell_angle_gamma 60.00
loop_
_atom_site_label
_atom_site_type_symbol
_atom_site_fract_x
_atom_site_fract_y
_atom_site_fract_z
_atom_site_occupancy
Ba1 Ba 0.000 0.000 0.000 1
Tl1 Tl 0.750 0.750 0.750 1
Cl1 Cl 0.875 0.375 0.375 1
Cl2 Cl 0.375 0.375 0.875 1
Cl3 Cl 0.375 0.875 0.375 1
Cl4 Cl 0.375 0.375 0.375 1
```

***

(2)
First-principles (GGA-PBE) data for a relaxed Ba2TlCl crystal, as listed in Alexandria via LeMat-Bulk.

Its crystal system is monoclinic. For the polymorph energy (0 for the lowest one), the calculation gives 9 meV per atom. Its energy relative to the elements, uncorrected is -1.092 eV/atom.

The structure in CIF format:
```
data_Ba2TlCl
_space_group_name_H-M_alt 'P 1'
_space_group_IT_number 1
_space_group_name_Hall 'P 1'
_cell_length_a 6.259
_cell_length_b 4.141
_cell_length_c 6.256
_cell_angle_alpha 90.00
_cell_angle_beta 90.00
_cell_angle_gamma 90.00
loop_
_atom_site_label
_atom_site_type_symbol
_atom_site_fract_x
_atom_site_fract_y
_atom_site_fract_z
_atom_site_occupancy
Tl1 Tl 0.500 0.751 0.876 1
Ba1 Ba 0.000 0.252 0.875 1
Ba2 Ba 0.500 0.249 0.375 1
Cl1 Cl 0.000 0.248 0.375 1
```

***

(3)
First-principles (GGA-PBE) data for a relaxed BaTlCl crystal, as listed in Alexandria via LeMat-Bulk.

Its crystal system is cubic. For the polymorph energy (0 for the lowest one), the calculation gives 400 meV per atom. Its energy relative to the elements, uncorrected is -0.678 eV/atom.

The structure in CIF format:
```
data_BaTlCl
_space_group_name_H-M_alt 'P 1'
_space_group_IT_number 1
_space_group_name_Hall 'P 1'
_cell_length_a 5.608
_cell_length_b 5.608
_cell_length_c 5.608
_cell_angle_alpha 60.00
_cell_angle_beta 60.00
_cell_angle_gamma 60.00
loop_
_atom_site_label
_atom_site_type_symbol
_atom_site_fract_x
_atom_site_fract_y
_atom_site_fract_z
_atom_site_occupancy
Tl1 Tl 0.500 0.500 0.500 1
Ba1 Ba 0.750 0.750 0.750 1
Cl1 Cl 0.000 0.000 0.000 1
```

***

(4)
First-principles (GGA-PBE) data for a relaxed BaTlCl2 crystal, as listed in Alexandria via LeMat-Bulk.

Its crystal system is trigonal. For the polymorph energy (0 for the lowest one), the calculation gives 330 meV per atom. Its energy relative to the elements, uncorrected is -1.255 eV/atom.

The structure in CIF format:
```
data_BaTlCl2
_space_group_name_H-M_alt 'P 1'
_space_group_IT_number 1
_space_group_name_Hall 'P 1'
_cell_length_a 9.742
_cell_length_b 9.742
_cell_length_c 9.742
_cell_angle_alpha 28.59
_cell_angle_beta 28.59
_cell_angle_gamma 28.59
loop_
_atom_site_label
_atom_site_type_symbol
_atom_site_fract_x
_atom_site_fract_y
_atom_site_fract_z
_atom_site_occupancy
Tl1 Tl 0.500 0.500 0.500 1
Ba1 Ba 0.000 0.000 0.000 1
Cl1 Cl 0.895 0.895 0.895 1
Cl2 Cl 0.105 0.105 0.105 1
```

***

How do the records compare in magnetization? In the order shown, they have 1.04, 0.00, 0.00, 0.00 μB/f.u..